# 1
{"formula": "BeZn2Cd", "functional": "PBE-GGA", "state": "relaxed", "m_tot_mub_per_atom": 0.0000, "mass_density_g_cm3": 6.86, "e_above_lowest_polymorph_ev_per_atom": 0.113, "vol_a3_per_atom": 15.3, "cell": [[3.1527, 0.0000, 0.0000], [0.0000, 3.1527, 0.0000], [0.0000, 0.0000, 6.1417]], "species": ["Be", "Zn", "Zn", "Cd"], "fractional_positions": [[0.0000, 0.0000, 0.0000], [0.0000, 0.0000, 0.5856], [0.5000, 0.5000, 0.8264], [0.5000, 0.5000, 0.2797]]}



# 2
{"formula": "BaCd2In4Au", "functional": "PBE-GGA", "state": "relaxed", "final_energy_ev_per_atom": -2.46, "m_tot_mub_per_atom": 0.0000, "mass_density_g_cm3": 7.61, "vol_a3_per_atom": 27.8, "cell": [[2.5104, 1.4494, 10.1835], [-2.5104, 1.4494, 10.1835], [0.0000, -2.8988, 10.1835]], "species": ["Ba", "Cd", "Cd", "In", "In", "In", "In", "Au"], "fractional_positions": [[0.0000, 0.0000, 0.0000], [0.2554, 0.2554, 0.2554], [0.7446, 0.7446, 0.7446], [0.1359, 0.1359, 0.1359], [0.4054, 0.4054, 0.4054], [0.5946, 0.5946, 0.5946], [0.8641, 0.8641, 0.8641], [0.5000, 0.5000, 0.5000]]}



# 3
{"formula": "NdErPuSn", "functional": "PBE-GGA", "state": "relaxed", "final_energy_ev_per_atom": -7.04, "m_tot_mub_per_atom": 1.7561, "mass_density_g_cm3": 9.75, "vol_a3_per_atom": 28.7, "cell": [[0.0000, 3.8584, 3.8584], [3.8584, 0.0000, 3.8584], [3.8584, 3.8584, 0.0000]], "species": ["Nd", "Er", "Pu", "Sn"], "fractional_positions": [[0.0000, 0.0000, 0.0000], [0.2500, 0.2500, 0.2500], [0.5000, 0.5000, 0.5000], [0.7500, 0.7500, 0.7500]]}



# 4
{"formula": "AlIrN2O", "functional": "PBE-GGA", "state": "relaxed", "m_tot_mub_per_atom": 0.0000, "e_form_raw_ev_per_atom": 0.64, "mass_density_g_cm3": 7.14, "vol_a3_per_atom": 12.2, "cell": [[3.7845, 0.0000, 0.0000], [0.0000, 3.7845, 0.0000], [0.0000, 0.0000, 4.2753]], "species": ["Al", "Ir", "N", "N", "O"], "fractional_positions": [[0.0000, 0.0000, 0.0000], [0.5000, 0.5000, 0.5000], [0.0000, 0.5000, 0.5000], [0.5000, 0.0000, 0.5000], [0.5000, 0.5000, 0.0000]]}



# 5
{"formula": "BePOs2", "functional": "PBE-GGA", "state": "relaxed", "final_energy_ev_per_atom": -7.84, "m_tot_mub_per_atom": 0.0000, "mass_density_g_cm3": 13.91, "vol_a3_per_atom": 12.5, "cell": [[3.7385, -1.4224, 0.0000], [3.7385, 1.4224, 0.0000], [-0.9263, 0.0000, 4.7196]], "species": ["Be", "P", "Os", "Os"], "fractional_positions": [[0.0000, 0.0000, 0.0000], [0.5000, 0.5000, 0.5000], [0.2423, 0.2423, 0.7511], [0.7577, 0.7577, 0.2489]]}



# 6
{"formula": "ZrTl2P", "functional": "PBE-GGA", "state": "relaxed", "final_energy_ev_per_atom": -4.26, "m_tot_mub_per_atom": 0.0001, "mass_density_g_cm3": 9.55, "vol_a3_per_atom": 23.1, "cell": [[1.8886, -2.6600, 0.0000], [1.8886, 2.6600, 0.0000], [0.0000, 0.0000, 9.1872]], "species": ["Zr", "Tl", "Tl", "P"], "fractional_positions": [[0.0000, 0.0000, 0.0000], [0.5000, 0.5000, 0.2658], [0.5000, 0.5000, 0.7342], [0.0000, 0.0000, 0.5000]]}



Please write out number 4 again, unchanged.
{"formula": "AlIrN2O", "functional": "PBE-GGA", "state": "relaxed", "m_tot_mub_per_atom": 0.0000, "e_form_raw_ev_per_atom": 0.64, "mass_density_g_cm3": 7.14, "vol_a3_per_atom": 12.2, "cell": [[3.7845, 0.0000, 0.0000], [0.0000, 3.7845, 0.0000], [0.0000, 0.0000, 4.2753]], "species": ["Al", "Ir", "N", "N", "O"], "fractional_positions": [[0.0000, 0.0000, 0.0000], [0.5000, 0.5000, 0.5000], [0.0000, 0.5000, 0.5000], [0.5000, 0.0000, 0.5000], [0.5000, 0.5000, 0.0000]]}